# 1
Compound: NaGe2F6
Source: the Alexandria database
Functional: PBE-GGA
Structure: optimized geometry

Structure (POSCAR):
```
NaGe2F6
1.0
5.465 -0.213 -0.206
1.356 7.284 -0.922
1.356 -0.686 7.310
Ge F Na
4 12 2
Cartesian
6.420 5.226 3.162
3.687 3.436 5.223
1.758 1.160 3.020
4.490 2.950 0.959
4.653 4.673 2.967
3.571 2.140 6.545
4.606 4.246 -0.363
6.001 6.183 4.720
2.176 0.203 1.462
1.921 3.223 4.678
3.268 5.024 6.130
4.909 1.361 0.052
6.256 3.163 1.504
6.304 6.504 1.824
1.874 -0.118 4.358
3.524 1.713 3.215
2.722 -0.016 6.512
5.455 6.401 -0.330
```

Summary:
The calculation puts the density of states at the Fermi level at 2.65 states/eV/f.u. Its crystal system is monoclinic.



# 2
Compound: NaGe2F
Source: the Alexandria database
Functional: PBE-GGA
Structure: optimized geometry

Structure (POSCAR):
```
NaGe2F
1.0
2.621 -3.593 -1.562
-0.904 -4.388 1.465
-1.851 -3.146 -2.982
F Ge Na
1 2 1
Cartesian
0.000 0.000 0.000
-0.100 -8.346 -2.310
-0.033 -2.782 -0.770
-0.067 -5.564 -1.540
```

Summary:
As for the polymorph energy (0 for the lowest one): 0.795 eV per atom. The calculation puts the density of states at the Fermi level at 2.48 states/eV/f.u. Its crystal system is cubic.



# 3
Compound: Na2GeF7
Source: the Alexandria database
Functional: PBE-GGA
Structure: optimized geometry

Structure (POSCAR):
```
Na2GeF7
1.0
6.228 -1.523 4.908
1.775 5.073 2.320
1.637 -1.878 9.706
F Ge Na
14 2 4
Cartesian
7.708 0.273 12.964
3.346 3.288 10.260
3.274 3.226 5.354
1.932 1.398 3.970
2.789 0.056 9.362
6.366 -1.554 11.581
4.791 1.397 12.420
2.791 0.067 6.681
4.848 0.275 4.515
6.851 1.616 7.573
6.848 1.605 10.254
4.625 -0.667 9.012
6.293 -1.617 6.674
5.015 2.338 7.923
7.675 -1.517 12.823
1.965 3.189 4.111
4.544 1.424 10.117
2.754 -0.652 4.476
6.885 2.324 12.459
5.095 0.248 6.818
```

Summary:
Its crystal system is triclinic.



# 4
Compound: Na2GeF
Source: the Alexandria database
Functional: PBE-GGA
Structure: optimized geometry

Structure (POSCAR):
```
Na2GeF
1.0
0.000 3.493 3.493
3.493 0.000 3.493
3.493 3.493 0.000
Na F Ge
2 1 1
Cartesian
1.746 1.746 1.746
5.239 5.239 5.239
0.000 0.000 0.000
3.493 3.493 3.493
```

Summary:
As for the polymorph energy (0 for the lowest one): 0.533 eV per atom. The calculation puts the density of states at the Fermi level at 6.76 states/eV/f.u. Its crystal system is cubic.



# 5
Compound: NaGeF6
Source: the Alexandria database
Functional: PBE-GGA
Structure: optimized geometry

Structure (POSCAR):
```
NaGeF6
1.0
5.824 0.000 0.000
2.912 5.044 0.000
2.912 1.681 4.755
F Na Ge
6 1 1
Cartesian
4.199 2.424 3.705
7.449 4.301 1.051
4.199 4.301 1.051
5.824 1.486 1.051
7.449 2.424 3.705
5.824 5.239 3.705
5.824 3.363 2.378
0.000 0.000 0.000
```

Summary:
The calculation puts the density of states at the Fermi level at 9.08 states/eV/f.u. Its crystal system is cubic.



# 6
Compound: NaGe2F8
Source: the Alexandria database
Functional: PBE-GGA
Structure: optimized geometry

Structure (POSCAR):
```
NaGe2F8
1.0
-3.246 -1.575 1.671
-3.319 0.438 -6.035
3.571 -5.693 1.570
Ge F Na
2 8 1
Cartesian
0.460 -4.045 -0.546
-3.453 -2.785 -2.248
-2.991 -2.069 -0.672
-0.002 -4.761 -2.123
-1.836 -2.001 -3.081
-4.488 -1.861 -3.384
-0.109 -2.403 -0.106
1.495 -4.969 0.590
-1.157 -4.830 0.287
-2.884 -4.428 -2.688
3.571 -5.693 1.570
```

Summary:
As for the polymorph energy (0 for the lowest one): 0.000 eV per atom. The calculation puts the density of states at the Fermi level at 2.35 states/eV/f.u. Its crystal system is trigonal.



# 7
Compound: NaGeF2
Source: the Alexandria database
Functional: PBE-GGA
Structure: optimized geometry

Structure (POSCAR):
```
NaGeF2
1.0
-5.866 -0.085 0.011
0.064 -3.867 4.410
-2.940 1.090 4.900
F Na Ge
4 2 2
Cartesian
-4.379 -0.763 5.446
-7.282 -2.542 7.432
-1.577 -2.157 3.983
-4.243 -0.262 1.783
-2.888 -2.377 5.761
-2.901 -1.976 2.211
0.000 0.000 0.000
-5.853 -0.485 3.561
```

Summary:
As for the polymorph energy (0 for the lowest one): 0.425 eV per atom. The calculation puts the density of states at the Fermi level at 1.67 states/eV/f.u. Its crystal system is tetragonal.



# 8
Compound: NaGeF2
Source: the Alexandria database
Functional: PBE-GGA
Structure: optimized geometry

Structure (POSCAR):
```
NaGeF2
1.0
1.834 0.000 6.802
-0.917 1.588 6.802
-0.917 -1.588 6.802
F Na Ge
2 1 1
Cartesian
0.000 0.000 18.332
0.000 0.000 2.075
0.000 0.000 10.204
0.000 0.000 0.000
```

Summary:
As for the polymorph energy (0 for the lowest one): 0.000 eV per atom. The calculation puts the density of states at the Fermi level at 0.43 states/eV/f.u. Its crystal system is trigonal.



# 9
Compound: NaGe2F
Source: the Alexandria database
Functional: PBE-GGA
Structure: optimized geometry

Structure (POSCAR):
```
NaGe2F
1.0
-2.902 -2.002 -0.222
1.685 -2.626 1.656
-5.003 2.683 13.118
Ge Na F
4 2 2
Cartesian
-4.812 -2.044 11.098
-0.552 -1.215 4.287
-4.213 0.284 10.372
-2.862 -0.914 3.347
-4.257 -0.816 6.807
0.000 0.000 0.000
-1.963 -1.128 7.745
-0.608 -2.314 0.717
```

Summary:
As for the polymorph energy (0 for the lowest one): 0.000 eV per atom. The calculation puts the density of states at the Fermi level at 1.22 states/eV/f.u. Its crystal system is tetragonal.



# 10
Compound: NaGeF2
Source: the Alexandria database
Functional: PBE-GGA
Structure: optimized geometry

Structure (POSCAR):
```
NaGeF2
1.0
0.000 3.077 3.077
3.077 0.000 3.077
3.077 3.077 0.000
F Na Ge
2 1 1
Cartesian
1.538 1.538 1.538
4.615 4.615 4.615
0.000 0.000 0.000
3.077 3.077 3.077
```

Summary:
As for the polymorph energy (0 for the lowest one): 0.643 eV per atom. The calculation puts the density of states at the Fermi level at 1.96 states/eV/f.u. Its crystal system is cubic.



# 11
Compound: Na2GeF8
Source: the Alexandria database
Functional: PBE-GGA
Structure: optimized geometry

Structure (POSCAR):
```
Na2GeF8
1.0
-1.399 -4.584 -2.080
4.102 -3.301 -3.827
2.261 -5.589 2.454
Na Ge F
2 1 8
Cartesian
1.899 -2.798 -0.462
3.065 -10.677 -2.990
0.000 0.000 0.000
1.974 -10.806 -0.939
0.000 -3.690 -1.344
2.118 -5.894 -1.525
3.137 -9.361 -4.907
4.964 -9.784 -2.108
2.990 -2.668 -2.513
1.827 -4.113 1.456
2.846 -7.581 -1.926
```

Summary:
The calculation puts the density of states at the Fermi level at 9.79 states/eV/f.u. Its crystal system is monoclinic.



# 12
Compound: Na3GeF7
Source: the Alexandria database
Functional: PBE-GGA
Structure: optimized geometry

Structure (POSCAR):
```
Na3GeF7
1.0
-0.916 4.716 2.509
-4.784 -1.746 1.857
0.411 -0.828 5.761
Na F Ge
3 7 1
Cartesian
-2.542 0.750 7.635
-3.658 -0.658 4.772
-1.590 2.799 5.121
-2.788 1.110 5.533
-4.693 -0.786 6.939
-0.821 3.032 2.918
-0.888 0.376 1.538
-4.520 1.855 8.408
-2.162 3.443 7.366
-3.301 -1.113 2.499
0.319 -0.762 5.653
```

Summary:
The calculation puts the density of states at the Fermi level at 0.00 states/eV/f.u. Its crystal system is monoclinic.



| no. | formation energy (no corrections) (eV/atom) |
| --- | --- |
| 1 | -2.198 |
| 2 | -0.060 |
| 3 | -2.355 |
| 4 | -0.501 |
| 5 | -2.207 |
| 6 | -2.299 |
| 7 | -1.606 |
| 8 | -2.031 |
| 9 | -0.855 |
| 10 | -1.388 |
| 11 | -2.107 |
| 12 | -2.642 |